No. 1
Below is a relaxed structure of ZnOs3, with properties calculated at the PBE-GGA level.

## Properties
space-group type	No. 65

Unit cell a=4.768 b=4.768 c=2.730 alpha=90.00 beta=90.00 gamma=112.32
Atoms (fractional coordinates):
Zn  0.000  0.000  0.000
Os  0.000  0.500  0.500
Os  0.500  0.000  0.500
Os  0.500  0.500  0.000

=====

No. 2
Below is a relaxed structure of Sc4C5, with properties calculated at the PBE-GGA level.

## Properties
space-group type	No. 193
energy relative to the lowest polymorph listed for this composition	559	meV/atom

Unit cell a=6.827 b=6.827 c=5.285 alpha=90.00 beta=90.00 gamma=120.00
Atoms (fractional coordinates):
Sc  0.000  0.000  0.000
Sc  0.000  0.000  0.500
Sc  0.000  0.401  0.250
Sc  0.000  0.599  0.750
Sc  0.401  0.000  0.250
Sc  0.401  0.401  0.750
Sc  0.599  0.000  0.750
Sc  0.599  0.599  0.250
C  0.000  0.273  0.750
C  0.000  0.727  0.250
C  0.273  0.000  0.750
C  0.273  0.273  0.250
C  0.333  0.667  0.000
C  0.333  0.667  0.500
C  0.667  0.333  0.000
C  0.667  0.333  0.500
C  0.727  0.000  0.250
C  0.727  0.727  0.750

=====

Number 1: total magnetization 0.001 μB per cell, ρ 18.40 g/cm3, total energy -8.34 eV/atom. Number 2: total magnetization 0.000 μB per cell, ρ 3.73 g/cm3, total energy -7.33 eV/atom.